[1]
# NaSrAl | Alexandria via LeMat-Bulk | PBE | relaxed
# volume	105.1	Å³/f.u.
# total magnetization	0.0	μB/f.u.
# mass density	2.17	g/cm³
# formation energy from the elements	-0.0047	eV per atom
# final energy	-2.2525	eV/atom
data_NaSrAl
_symmetry_space_group_name_H-M 'P n m a'
_symmetry_Int_Tables_number 62
_symmetry_space_group_name_Hall '-P 2ac 2n'
_cell_length_a 12.025
_cell_length_b 4.628
_cell_length_c 7.554
_cell_angle_alpha 90.00
_cell_angle_beta 90.00
_cell_angle_gamma 90.00
loop_
_atom_site_label
_atom_site_type_symbol
_atom_site_fract_x
_atom_site_fract_y
_atom_site_fract_z
Na1 Na 0.027 0.250 0.155
Sr1 Sr 0.216 0.250 0.666
Al1 Al 0.056 0.750 0.460



[2]
# Th5Bi5Te | Alexandria via LeMat-Bulk | PBE | relaxed
# volume	398.2	Å³/f.u.
# formation energy from raw total energies	-0.5766	eV per atom
# total magnetization	0.0	μB/f.u.
# mass density	9.73	g/cm³
# final energy	-5.9989	eV/atom
data_Th5Bi5Te
_symmetry_space_group_name_H-M 'C 1 2/m 1'
_symmetry_Int_Tables_number 12
_symmetry_space_group_name_Hall '-C 2y'
_cell_length_a 14.336
_cell_length_b 6.446
_cell_length_c 9.086
_cell_angle_alpha 90.00
_cell_angle_beta 108.49
_cell_angle_gamma 90.00
loop_
_atom_site_label
_atom_site_type_symbol
_atom_site_fract_x
_atom_site_fract_y
_atom_site_fract_z
Th1 Th 0.000 0.000 0.000
Th2 Th 0.165 0.500 0.334
Th3 Th 0.167 0.500 0.832
Bi1 Bi 0.000 0.500 0.500
Bi2 Bi 0.159 0.000 0.341
Bi3 Bi 0.160 0.000 0.819
Te1 Te 0.000 0.500 0.000



[3]
# Tl3ZnPb12 | Alexandria via LeMat-Bulk | PBE | relaxed
# volume	488.5	Å³/f.u.
# total magnetization	0.0	μB/f.u.
# mass density	10.76	g/cm³
# formation energy from the elements	0.0292	eV per atom
# final energy	-3.2753	eV/atom
data_Tl3ZnPb12
_symmetry_space_group_name_H-M 'P 4/m m m'
_symmetry_Int_Tables_number 123
_symmetry_space_group_name_Hall '-P 4 2'
_cell_length_a 4.911
_cell_length_b 4.911
_cell_length_c 20.250
_cell_angle_alpha 90.00
_cell_angle_beta 90.00
_cell_angle_gamma 90.00
loop_
_atom_site_label
_atom_site_type_symbol
_atom_site_fract_x
_atom_site_fract_y
_atom_site_fract_z
Tl1 Tl 0.000 0.000 0.000
Tl2 Tl 0.000 0.000 0.256
Zn1 Zn 0.000 0.000 0.500
Pb1 Pb 0.000 0.500 0.128
Pb2 Pb 0.000 0.500 0.384
Pb3 Pb 0.500 0.500 0.000
Pb4 Pb 0.500 0.500 0.255
Pb5 Pb 0.500 0.500 0.500



[4]
# SrLiW | Alexandria via LeMat-Bulk | PBE | relaxed
# volume	104.1	Å³/f.u.
# total magnetization	4.5	μB/f.u.
# mass density	4.44	g/cm³
# formation energy from the elements	2.0101	eV per atom
# final energy	-3.5062	eV/atom
data_SrLiW
_symmetry_space_group_name_H-M 'F -4 3 m'
_symmetry_Int_Tables_number 216
_symmetry_space_group_name_Hall 'F -4 2 3'
_cell_length_a 7.467
_cell_length_b 7.467
_cell_length_c 7.467
_cell_angle_alpha 90.00
_cell_angle_beta 90.00
_cell_angle_gamma 90.00
loop_
_atom_site_label
_atom_site_type_symbol
_atom_site_fract_x
_atom_site_fract_y
_atom_site_fract_z
Sr1 Sr 0.000 0.000 0.000
Li1 Li 0.250 0.250 0.750
W1 W 0.250 0.250 0.250



[5]
# Ca2TaOs | Alexandria via LeMat-Bulk | PBE | relaxed
# volume	82.7	Å³/f.u.
# total magnetization	0.0	μB/f.u.
# mass density	9.06	g/cm³
# formation energy from the elements	0.6921	eV per atom
# final energy	-6.0793	eV/atom
data_Ca2TaOs
_symmetry_space_group_name_H-M 'P m m m'
_symmetry_Int_Tables_number 47
_symmetry_space_group_name_Hall '-P 2 2'
_cell_length_a 2.918
_cell_length_b 5.077
_cell_length_c 5.583
_cell_angle_alpha 90.00
_cell_angle_beta 90.00
_cell_angle_gamma 90.00
loop_
_atom_site_label
_atom_site_type_symbol
_atom_site_fract_x
_atom_site_fract_y
_atom_site_fract_z
Ca1 Ca 0.000 0.000 0.241
Ta1 Ta 0.500 0.500 0.500
Os1 Os 0.500 0.500 0.000



[6]
# TiCuO3 | Alexandria via LeMat-Bulk | PBE | relaxed
# volume	50.6	Å³/f.u.
# formation energy from raw total energies	-0.7874	eV per atom
# total magnetization	0.0	μB/f.u.
# mass density	5.23	g/cm³
# final energy	-6.1605	eV/atom
data_TiCuO3
_symmetry_space_group_name_H-M 'P m -3 m'
_symmetry_Int_Tables_number 221
_symmetry_space_group_name_Hall '-P 4 2 3'
_cell_length_a 3.698
_cell_length_b 3.698
_cell_length_c 3.698
_cell_angle_alpha 90.00
_cell_angle_beta 90.00
_cell_angle_gamma 90.00
loop_
_atom_site_label
_atom_site_type_symbol
_atom_site_fract_x
_atom_site_fract_y
_atom_site_fract_z
Ti1 Ti 0.000 0.000 0.000
Cu1 Cu 0.500 0.500 0.500
O1 O 0.000 0.500 0.500



[7]
# ErInGaAu | Alexandria via LeMat-Bulk | PBE | relaxed
# volume	85.1	Å³/f.u.
# total magnetization	0.0	μB/f.u.
# mass density	10.71	g/cm³
# formation energy from the elements	-0.5189	eV per atom
# final energy	-3.9203	eV/atom
data_ErInGaAu
_symmetry_space_group_name_H-M 'F -4 3 m'
_symmetry_Int_Tables_number 216
_symmetry_space_group_name_Hall 'F -4 2 3'
_cell_length_a 6.981
_cell_length_b 6.981
_cell_length_c 6.981
_cell_angle_alpha 90.00
_cell_angle_beta 90.00
_cell_angle_gamma 90.00
loop_
_atom_site_label
_atom_site_type_symbol
_atom_site_fract_x
_atom_site_fract_y
_atom_site_fract_z
Er1 Er 0.000 0.000 0.000
In1 In 0.000 0.000 0.500
Ga1 Ga 0.250 0.250 0.750
Au1 Au 0.250 0.250 0.250



[8]
# CsNa2LiIn | Alexandria via LeMat-Bulk | PBE | relaxed
# volume	197.5	Å³/f.u.
# total magnetization	0.0	μB/f.u.
# mass density	2.53	g/cm³
# formation energy from the elements	0.0589	eV per atom
# final energy	-1.5699	eV/atom
data_CsNa2LiIn
_symmetry_space_group_name_H-M 'P 4/m m m'
_symmetry_Int_Tables_number 123
_symmetry_space_group_name_Hall '-P 4 2'
_cell_length_a 6.005
_cell_length_b 6.005
_cell_length_c 5.475
_cell_angle_alpha 90.00
_cell_angle_beta 90.00
_cell_angle_gamma 90.00
loop_
_atom_site_label
_atom_site_type_symbol
_atom_site_fract_x
_atom_site_fract_y
_atom_site_fract_z
Cs1 Cs 0.000 0.000 0.000
Na1 Na 0.000 0.500 0.500
Li1 Li 0.500 0.500 0.500
In1 In 0.500 0.500 0.000